No. 1
## NdEuCdPd (PBE-GGA)

Data for a geometry-optimized NdEuCdPd structure.

```
NdEuCdPd
1.0
7.4991 0.0000 0.0000
0.0000 7.4991 0.0000
0.0000 0.0000 7.4991
Nd Eu Cd Pd
4 4 4 4
direct
0.0000 0.0000 0.0000
0.0000 0.5000 0.5000
0.5000 0.0000 0.5000
0.5000 0.5000 0.0000
0.0000 0.0000 0.5000
0.0000 0.5000 0.0000
0.5000 0.0000 0.0000
0.5000 0.5000 0.5000
0.2500 0.2500 0.2500
0.2500 0.7500 0.7500
0.7500 0.2500 0.7500
0.7500 0.7500 0.2500
0.2500 0.2500 0.7500
0.2500 0.7500 0.2500
0.7500 0.2500 0.2500
0.7500 0.7500 0.7500
```

* energy of formation: -1.84 eV/f.u.
* raw total energy: -5.75 eV/atom
* density: 8.11 g/cm³



No. 2
## PmNdEuCd (PBE-GGA)

Data for a geometry-optimized PmNdEuCd structure.

```
PmNdEuCd
1.0
8.0098 0.0000 0.0000
0.0000 8.0098 0.0000
0.0000 0.0000 8.0098
Pm Nd Eu Cd
4 4 4 4
direct
0.0000 0.0000 0.0000
0.0000 0.5000 0.5000
0.5000 0.0000 0.5000
0.5000 0.5000 0.0000
0.2500 0.2500 0.2500
0.2500 0.7500 0.7500
0.7500 0.2500 0.7500
0.7500 0.7500 0.2500
0.2500 0.2500 0.7500
0.2500 0.7500 0.2500
0.7500 0.2500 0.2500
0.7500 0.7500 0.7500
0.0000 0.0000 0.5000
0.0000 0.5000 0.0000
0.5000 0.0000 0.0000
0.5000 0.5000 0.5000
```

* energy of formation: 0.06 eV/f.u.
* raw total energy: -5.16 eV/atom
* density: 7.16 g/cm³